InPd2Se2, optimized geometry, DFT PBE-GGA; calculated density = 8.3 g cm⁻³; total energy = -4.0915 eV/atom; energy above the lowest structure with this stoichiometry = 0.105 eV/atom
1.0
-6.973 -1.463 3.475
3.350 -5.757 4.297
0.676 2.051 2.220
Se Pd In
4 4 2
Direct
0.349 0.849 0.000
0.151 0.349 0.000
0.849 0.651 0.000
0.651 0.151 0.000
0.340 0.160 0.500
0.160 0.660 0.500
0.660 0.840 0.500
0.840 0.340 0.500
0.000 0.000 0.000
0.500 0.500 0.000